# Cd2PtCl

Cd2PtCl after structural relaxation (PBEsol, the Alexandria database).

Cell and atoms, written as POSCAR:
```
Cd2PtCl
1.0
3.854 0.000 0.000
0.000 3.854 0.000
-1.927 -1.927 5.210
Cd Cl Pt
2 1 1
direct
0.000 0.000 0.000
0.750 0.250 0.500
0.500 0.500 0.000
0.250 0.750 0.500
```

Properties
- energy relative to the elements, uncorrected (eV/atom) = -0.015
- energy above the lowest structure with this stoichiometry (eV per atom) = 0.118
- theoretical density (g/cm³) = 9.772